(1)
This record from the Alexandria database describes an optimized crystal structure of PuPaAg2. The functional is PBE-GGA.

Cell: 4.824 4.287 4.287 Å, 90.00 90.00 90.00°
Site moments in Bohr magnetons follow the coordinates.
Element x y z (fractional)
Ag 0.000 0.000 0.500  0.03
Ag 0.000 0.500 0.000  0.03
Pa 0.500 0.000 0.000  1.19
Pu 0.500 0.500 0.500  5.42

Uncorrected energy ... -28.9 eV for the cell shown


(2)
This record from the Alexandria database describes an optimized crystal structure of Pu2PaAg. The functional is PBE-GGA.

Cell: 5.102 5.102 5.102 Å, 60.00 60.00 60.00°
Site moments in Bohr magnetons follow the coordinates.
Element x y z (fractional)
Pu 0.250 0.250 0.250  5.50
Pu 0.750 0.750 0.750  5.50
Pa 0.000 0.000 0.000  1.63
Ag 0.500 0.500 0.500  0.04

Uncorrected energy ... -40.1 eV for the cell shown


Relative energy among the computed polymorphs values, unit eV per formula unit, following the record order: 0.00 0.42.
E_form values, unit eV per atom, following the record order: 0.150 0.226.
DOS at the Fermi energy values, unit states/eV/f.u., following the record order: 10.0 11.6.